The following is a GGA-PBE calculation of IrPtW after structural relaxation, from Alexandria.

The structure in POSCAR format:
```
IrPtW
1.0
2.786 0.000 0.000
-1.393 2.413 0.000
0.000 0.000 6.871
Ir Pt W
1 1 1
Direct
0.000 0.000 0.000 Ir
0.667 0.333 0.350 Pt
0.333 0.667 0.683 W
```

## Properties
**Raw total energy**: -9.428 eV per atom
**Space-group type**: P3m1
**Formation enthalpy at 0 K**: -143 meV/atom
**Calculated volume**: 46 Å³ per cell

***

The following is a GGA-PBE calculation of IrPtW after structural relaxation, from Alexandria.

The structure in POSCAR format:
```
IrPtW
1.0
0.000 3.010 3.010
3.010 0.000 3.010
3.010 3.010 0.000
Ir Pt W
1 1 1
Direct
0.000 0.000 0.000 Ir
0.500 0.500 0.500 Pt
0.750 0.750 0.750 W
```

## Properties
**Raw total energy**: -9.101 eV per atom
**Space-group type**: F-43m
**Formation enthalpy at 0 K**: 184 meV/atom
**Calculated volume**: 55 Å³ per cell

***

The following is a GGA-PBE calculation of Ir2PtW after structural relaxation, from Alexandria.

The structure in POSCAR format:
```
Ir2PtW
1.0
2.211 1.276 5.611
-2.211 1.276 5.611
0.000 -2.553 5.611
Ir Pt W
2 1 1
Direct
0.143 0.143 0.143 Ir
0.857 0.857 0.857 Ir
0.000 0.000 0.000 Pt
0.500 0.500 0.500 W
```

## Properties
**Raw total energy**: -7.993 eV per atom
**Space-group type**: R-3m
**Formation enthalpy at 0 K**: 1186 meV/atom
**Calculated volume**: 95 Å³ per cell

***

The following is a GGA-PBE calculation of IrPtW2 after structural relaxation, from Alexandria.

The structure in POSCAR format:
```
IrPtW2
1.0
2.776 0.000 0.000
0.000 2.776 0.000
0.000 0.000 8.115
Ir Pt W
1 1 2
Direct
0.000 0.000 0.000 Ir
0.500 0.500 0.264 Pt
0.000 0.000 0.505 W
0.500 0.500 0.774 W
```

## Properties
**Raw total energy**: -10.348 eV per atom
**Space-group type**: P4mm
**Formation enthalpy at 0 K**: -146 meV/atom
**Calculated volume**: 63 Å³ per cell